(1)
# Ba3Ag3Hg2 | the Alexandria database | GGA-PBE | relaxed
# - Energy relative to the elements: -2.85 eV per formula unit
# - Crystal system: orthorhombic
data_Ba3Ag3Hg2
_symmetry_space_group_name_H-M 'C m c m'
_symmetry_Int_Tables_number 63
_symmetry_space_group_name_Hall '-C 2c 2'
_cell_length_a 4.9918
_cell_length_b 12.3385
_cell_length_c 17.1353
_cell_angle_alpha 90.00
_cell_angle_beta 90.00
_cell_angle_gamma 90.00
loop_
_atom_site_label
_atom_site_type_symbol
_atom_site_fract_x
_atom_site_fract_y
_atom_site_fract_z
Ba1 Ba 0.0000 0.1051 0.0992
Ba2 Ba 0.0000 0.3838 0.2500
Ag1 Ag 0.0000 0.3240 0.7500
Ag2 Ag 0.0000 0.3993 0.0423
Hg1 Hg 0.0000 0.1899 0.6044



(2)
# BiOs2O2 | the Alexandria database | GGA-PBE | relaxed
# - Energy relative to the elements, uncorrected: -102.0 meV/atom
# - E above lowest polymorph: 0.0 meV per atom
# - Crystal system: tetragonal
data_BiOs2O2
_symmetry_space_group_name_H-M 'P 4/m b m'
_symmetry_Int_Tables_number 127
_symmetry_space_group_name_Hall '-P 4 2ab'
_cell_length_a 7.1986
_cell_length_b 7.1986
_cell_length_c 3.6945
_cell_angle_alpha 90.00
_cell_angle_beta 90.00
_cell_angle_gamma 90.00
loop_
_atom_site_label
_atom_site_type_symbol
_atom_site_fract_x
_atom_site_fract_y
_atom_site_fract_z
Bi1 Bi 0.0000 0.0000 0.0000
Os1 Os 0.1247 0.3753 0.0000
O1 O 0.1299 0.3701 0.5000



(3)
# Cs2Sb3Pb5 | the Alexandria database | GGA-PBE | relaxed
# - Energy relative to the elements, uncorrected: -176.0 meV/atom
# - Crystal system: orthorhombic
data_Cs2Sb3Pb5
_symmetry_space_group_name_H-M 'I b a m'
_symmetry_Int_Tables_number 72
_symmetry_space_group_name_Hall '-I 2 2c'
_cell_length_a 13.4229
_cell_length_b 15.3120
_cell_length_c 7.7644
_cell_angle_alpha 90.00
_cell_angle_beta 90.00
_cell_angle_gamma 90.00
loop_
_atom_site_label
_atom_site_type_symbol
_atom_site_fract_x
_atom_site_fract_y
_atom_site_fract_z
Cs1 Cs 0.2442 0.1247 0.0000
Sb1 Sb 0.0000 0.0000 0.2500
Sb2 Sb 0.1273 0.3750 0.0000
Pb1 Pb 0.0000 0.2558 0.2500
Pb2 Pb 0.0000 0.5000 0.2500
Pb3 Pb 0.1259 0.1199 0.5000



(4)
# SrTa5 | the Alexandria database | GGA-PBE | relaxed
# - E above lowest polymorph: 129.9 meV per atom
# - Energy relative to the elements: 3.83 eV per formula unit
# - Crystal system: orthorhombic
data_SrTa5
_symmetry_space_group_name_H-M 'C m m m'
_symmetry_Int_Tables_number 65
_symmetry_space_group_name_Hall '-C 2 2'
_cell_length_a 5.0324
_cell_length_b 10.0329
_cell_length_c 4.9227
_cell_angle_alpha 90.00
_cell_angle_beta 90.00
_cell_angle_gamma 90.00
loop_
_atom_site_label
_atom_site_type_symbol
_atom_site_fract_x
_atom_site_fract_y
_atom_site_fract_z
Sr1 Sr 0.0000 0.0000 0.0000
Ta1 Ta 0.0000 0.1982 0.5000
Ta2 Ta 0.0000 0.3280 0.0000
Ta3 Ta 0.0000 0.5000 0.5000



(5)
# Sc4SiRh | the Alexandria database | GGA-PBE | relaxed
# - Energy relative to the elements, uncorrected: 257.8 meV/atom
# - Crystal system: cubic
data_Sc4SiRh
_symmetry_space_group_name_H-M 'F -4 3 m'
_symmetry_Int_Tables_number 216
_symmetry_space_group_name_Hall 'F -4 2 3'
_cell_length_a 7.7645
_cell_length_b 7.7645
_cell_length_c 7.7645
_cell_angle_alpha 90.00
_cell_angle_beta 90.00
_cell_angle_gamma 90.00
loop_
_atom_site_label
_atom_site_type_symbol
_atom_site_fract_x
_atom_site_fract_y
_atom_site_fract_z
Sc1 Sc 0.1253 0.1253 0.1253
Si1 Si 0.2500 0.2500 0.7500
Rh1 Rh 0.0000 0.0000 0.5000



(6)
# WSCl3 | the Alexandria database | GGA-PBE | relaxed
# - Energy relative to the elements, uncorrected: -562.4 meV/atom
# - E above lowest polymorph: 126.0 meV per atom
# - Crystal system: orthorhombic
data_WSCl3
_symmetry_space_group_name_H-M 'P m n 21'
_symmetry_Int_Tables_number 31
_symmetry_space_group_name_Hall 'P 2ac -2'
_cell_length_a 6.8227
_cell_length_b 6.8828
_cell_length_c 5.7325
_cell_angle_alpha 90.00
_cell_angle_beta 90.00
_cell_angle_gamma 90.00
loop_
_atom_site_label
_atom_site_type_symbol
_atom_site_fract_x
_atom_site_fract_y
_atom_site_fract_z
W1 W 0.0000 0.0181 0.0000
S1 S 0.0000 0.2787 0.2006
Cl1 Cl 0.0000 0.7197 0.7865
Cl2 Cl 0.2484 0.1483 0.7309



(7)
# K2ScHg | the Alexandria database | GGA-PBE | relaxed
# - E above lowest polymorph: 479.3 meV per atom
# - Energy relative to the elements: 2.03 eV per formula unit
# - Crystal system: cubic
data_K2ScHg
_symmetry_space_group_name_H-M 'F m -3 m'
_symmetry_Int_Tables_number 225
_symmetry_space_group_name_Hall '-F 4 2 3'
_cell_length_a 8.5712
_cell_length_b 8.5712
_cell_length_c 8.5712
_cell_angle_alpha 90.00
_cell_angle_beta 90.00
_cell_angle_gamma 90.00
loop_
_atom_site_label
_atom_site_type_symbol
_atom_site_fract_x
_atom_site_fract_y
_atom_site_fract_z
K1 K 0.2500 0.2500 0.2500
Sc1 Sc 0.0000 0.0000 0.0000
Hg1 Hg 0.0000 0.0000 0.5000



(8)
# YTeN3 | the Alexandria database | GGA-PBE | relaxed
# - Energy relative to the elements, uncorrected: 306.0 meV/atom
# - Crystal system: cubic
data_YTeN3
_symmetry_space_group_name_H-M 'P m -3 m'
_symmetry_Int_Tables_number 221
_symmetry_space_group_name_Hall '-P 4 2 3'
_cell_length_a 3.9782
_cell_length_b 3.9782
_cell_length_c 3.9782
_cell_angle_alpha 90.00
_cell_angle_beta 90.00
_cell_angle_gamma 90.00
loop_
_atom_site_label
_atom_site_type_symbol
_atom_site_fract_x
_atom_site_fract_y
_atom_site_fract_z
Y1 Y 0.0000 0.0000 0.0000
Te1 Te 0.5000 0.5000 0.5000
N1 N 0.0000 0.5000 0.5000



Volume / Å³/cell: 1055.39; 191.45; 1595.82; 248.54; 468.11; 269.20; 629.69; 62.96